Record 1
## In3BiS (PBE)

Data for a relaxed structure of In3BiS.

The calculation puts the density of states at the Fermi level at 1.8 states/eV per cell. As for the raw total energy: -13.4 eV/f.u.

a b c (Å): 5.872 5.872 5.872
angles (deg): 90.00 90.00 90.00
Atoms (fractional coordinates):
In 0.000 0.000 0.500
In 0.000 0.500 0.000
In 0.500 0.000 0.000
Bi 0.000 0.000 0.000
S 0.500 0.500 0.500



Record 2
## LiDy3Te4 (PBE)

Data for a relaxed structure of LiDy3Te4.

The calculation puts the density of states at the Fermi level at 6.1 states/eV per cell. As for the raw total energy: -37.4 eV/f.u.

a b c (Å): 9.833 8.908 6.106
angles (deg): 90.00 90.00 90.00
Atoms (fractional coordinates):
Li 0.000 0.099 0.000
Li 0.500 0.901 0.500
Dy 0.000 0.746 0.497
Dy 0.210 0.342 0.497
Dy 0.290 0.658 0.997
Dy 0.500 0.254 0.997
Dy 0.710 0.658 0.997
Dy 0.790 0.342 0.497
Te 0.000 0.091 0.498
Te 0.000 0.778 0.997
Te 0.200 0.333 0.997
Te 0.300 0.667 0.497
Te 0.500 0.222 0.497
Te 0.500 0.909 0.998
Te 0.700 0.667 0.497
Te 0.800 0.333 0.997



Record 3
## Dy2MgCd2 (PBE)

Data for a relaxed structure of Dy2MgCd2.

Its energy of formation is -0.1794 eV/atom. The calculation puts the density of states at the Fermi level at 13.0 states/eV per cell.

a b c (Å): 6.161 6.161 8.361
angles (deg): 102.96 102.96 58.72
Atoms (fractional coordinates):
Dy 0.017 0.291 0.145
Dy 0.291 0.017 0.645
Dy 0.709 0.983 0.355
Dy 0.983 0.709 0.855
Mg 0.310 0.690 0.250
Mg 0.690 0.310 0.750
Cd 0.234 0.508 0.508
Cd 0.492 0.766 0.992
Cd 0.508 0.234 0.008
Cd 0.766 0.492 0.492



Record 4
## LiCdOs2 (PBE)

Data for a relaxed structure of LiCdOs2.

Its energy of formation is 0.4044 eV/atom. The calculation puts the density of states at the Fermi level at 2.6 states/eV per cell.

a b c (Å): 5.406 5.406 5.406
angles (deg): 149.10 131.34 58.77
Atoms (fractional coordinates):
Li 0.000 0.000 0.000
Cd 0.500 0.500 0.000
Os 0.243 0.743 0.500
Os 0.757 0.257 0.500